Below is CrFe2GeO6 after structural relaxation, with properties calculated at the GGA+U level.

Geometry as POSCAR:
```
CrFe2GeO6
1.0
5.1299 0.0000 0.0000
2.5634 4.4536 0.0000
2.5248 1.4653 4.5250
Cr Fe Ge O
1 2 1 6
direct
0.0000 0.0000 0.0000
0.2117 0.2092 0.3655
0.7034 0.7053 0.8868
0.4952 0.4980 0.5086
0.1210 0.7627 0.7144
0.2963 0.6248 0.2120
0.3991 0.1230 0.7101
0.6253 0.8693 0.2169
0.7649 0.4001 0.7131
0.8686 0.2937 0.2159
```

Output
spin magnetization	6.0	μB/f.u.
total energy	-6.919	eV/atom